No. 1
The following is a DFT calculation (PBE) of a geometry-optimized Tb3NiGe3 structure.

Calculated values
- DFT formation energy (eV/f.u.) = -5.87
- E (eV/atom) = -5.63
- magnetic moment (μB per cell) = 0.00

Cell: 10.600 4.253 13.922 Å, 90.00 110.22 90.00°
Space group C2/m (No. 12)
Inequivalent atoms, fractional coordinates:
1 Tb 0.032 0.000 0.382
2 Tb 0.098 0.000 0.921
3 Tb 0.246 0.000 0.229
4 Ni 0.246 0.500 0.398
5 Ge 0.042 0.500 0.238
6 Ge 0.125 0.500 0.077
7 Ge 0.144 0.500 0.544

=====

No. 2
The following is a DFT calculation (PBE) of a geometry-optimized OsPb2 structure.

Calculated values
- DFT formation energy (eV/f.u.) = 1.88
- E (eV/atom) = -5.59
- magnetic moment (μB per cell) = 0.00

Cell: 3.319 3.319 26.797 Å, 90.00 90.00 90.00°
Space group I4_1/amd (No. 141, origin choice 2)
Inequivalent atoms, fractional coordinates:
1 Os 0.000 0.250 0.375
2 Pb 0.000 0.250 0.810

=====

No. 3
The following is a DFT calculation (PBE) of a geometry-optimized Ce2Ho3Co4 structure.

Calculated values
- DFT formation energy (eV/f.u.) = -1.07
- E (eV/atom) = -6.12
- magnetic moment (μB per cell) = 0.00
- energy relative to the lowest polymorph listed for this composition (meV per atom) = 84

Cell: 15.955 4.486 5.470 Å, 90.00 109.64 90.00°
Space group C2/m (No. 12)
Inequivalent atoms, fractional coordinates:
1 Ce 0.163 0.000 0.160
2 Ho 0.000 0.500 0.000
3 Ho 0.121 0.500 0.619
4 Co 0.000 0.000 0.299
5 Co 0.214 0.500 0.211

=====

No. 4
The following is a DFT calculation (PBE) of a geometry-optimized Dy3GaCu2Ni9 structure.

Calculated values
- DFT formation energy (eV/f.u.) = 0.35
- E (eV/atom) = -5.11
- magnetic moment (μB per cell) = 0.00

Cell: 5.8437 5.8437 8.7647 Å, 90.00 90.00 120.00°
Space group P-3m1 (No. 164)
Inequivalent atoms, fractional coordinates:
1 Dy 0.0000 0.0000 0.0000
2 Dy 0.3333 0.6667 0.7221
3 Ga 0.0000 0.0000 0.5000
4 Cu 0.3333 0.6667 0.1834
5 Ni 0.0000 0.5000 0.0000
6 Ni 0.1335 0.2670 0.2800